Entry from Alexandria via LeMat-Bulk: a relaxed structure of MgMo (PBE-GGA).

Cell: 2.8816 2.8816 29.6326 Å, 90.00 90.00 120.00°
Space group R-3m (No. 166, hexagonal axes)
Symmetry-distinct sites (fractional):
Mg (0.0000, 0.0000, 0.1209) (multiplicity 6)
Mo (0.0000, 0.0000, 0.3722) (multiplicity 6)

Output
- D(E_F) (states/eV per cell) = 8.955
- energy relative to the elements (meV/atom) = 346
- total moment (μB/f.u.) = 0.00
- energy above the lowest structure with this stoichiometry (meV/atom) = 160